An optimized crystal structure of Zn2HgPb. Source: Alexandria via LeMat-Bulk, functional GGA-PBE.

Computed properties:
Polymorph energy (0 for the lowest one), meV per atom: 0

POSCAR file:
```
Zn2HgPb
1.0
4.1376 0.0000 0.0000
0.0000 4.2307 0.0000
-2.0619 0.0000 5.1557
Zn Hg Pb
2 1 1
direct
0.0000 0.0000 0.0000
0.1498 0.5000 0.2970
0.7209 0.0000 0.4436
0.4249 0.5000 0.8497
```


An optimized crystal structure of Li4Mg3Pd. Source: Alexandria via LeMat-Bulk, functional GGA-PBE.

Computed properties:
Polymorph energy (0 for the lowest one), meV per atom: 58

POSCAR file:
```
Li4Mg3Pd
1.0
4.6199 0.0000 0.0000
0.0000 3.0767 0.0000
-2.1531 0.0000 10.7174
Li Mg Pd
4 3 1
direct
0.0937 0.0000 0.1884
0.2201 0.0000 0.4393
0.7799 0.0000 0.5607
0.9063 0.0000 0.8116
0.3536 0.5000 0.7017
0.5000 0.0000 0.0000
0.6464 0.5000 0.2983
0.0000 0.5000 0.0000
```


An optimized crystal structure of SrTc2Ge. Source: Alexandria via LeMat-Bulk, functional GGA-PBE.

Computed properties:
E, eV for the cell shown: -50.468

POSCAR file:
```
SrTc2Ge
1.0
-2.3384 2.3384 8.9686
2.3384 -2.3384 8.9686
2.3384 2.3384 -8.9686
Sr Tc Ge
2 4 2
direct
0.0000 0.0000 0.0000
0.7500 0.2500 0.5000
0.3270 0.1250 0.7020
0.3750 0.6730 0.7980
0.4230 0.6250 0.2980
0.8750 0.5770 0.2020
0.2500 0.7500 0.5000
0.5000 0.5000 0.0000
```


Values of DOS at the Fermi energy, in order: 0.29 0.46 1.16, all in states/eV per atom.